# Rb3PO4

Rb3PO4 after structural relaxation (GGA-PBE, Alexandria).

Lattice parameters (Å, degrees): 11.850 8.582 6.270 90.00 90.00 90.00
Atoms (fractional coordinates):
Rb  0.071  0.250  0.137
Rb  0.145  0.009  0.690
Rb  0.145  0.491  0.690
Rb  0.355  0.509  0.190
Rb  0.355  0.991  0.190
Rb  0.429  0.750  0.637
Rb  0.571  0.250  0.363
Rb  0.645  0.009  0.810
Rb  0.645  0.491  0.810
Rb  0.855  0.509  0.310
Rb  0.855  0.991  0.310
Rb  0.929  0.750  0.863
P  0.115  0.750  0.281
P  0.385  0.250  0.781
P  0.615  0.750  0.219
P  0.885  0.250  0.719
O  0.013  0.750  0.442
O  0.109  0.600  0.139
O  0.109  0.900  0.139
O  0.228  0.750  0.413
O  0.272  0.250  0.913
O  0.391  0.100  0.639
O  0.391  0.400  0.639
O  0.487  0.250  0.942
O  0.513  0.750  0.058
O  0.609  0.600  0.361
O  0.609  0.900  0.361
O  0.728  0.750  0.087
O  0.772  0.250  0.587
O  0.891  0.100  0.861
O  0.891  0.400  0.861
O  0.987  0.250  0.558

## Properties
**Crystal system**: orthorhombic
**Uncorrected formation energy**: -2151 meV per atom
**Fermi-level density of states**: 0.000 states/eV/f.u.
**Magnetic moment**: 0.57 μB per cell
**Space-group type**: Pnma (62)
**Energy above the lowest structure with this stoichiometry**: 0 kJ/mol of formula units

---

# RbP3O

RbP3O after structural relaxation (GGA-PBE, Alexandria).

Lattice parameters (Å, degrees): 7.007 7.007 7.007 90.00 90.00 90.00
Atoms (fractional coordinates):
Rb  0.000  0.000  0.000
P  0.000  0.000  0.500
P  0.000  0.500  0.000
P  0.500  0.000  0.000
O  0.500  0.500  0.500

## Properties
**Crystal system**: cubic
**Uncorrected formation energy**: 2276 meV per atom
**Fermi-level density of states**: 4.621 states/eV/f.u.
**Magnetic moment**: 10.00 μB per cell
**Space-group type**: Pm-3m (221)